P:
Compound: BaBe2Tc
Source: Alexandria via LeMat-Bulk
Functional: PBE-GGA
Structure: optimized geometry

Cell and atoms, written as CIF:
```
data_BaBe2Tc
_symmetry_space_group_name_H-M 'P 4/m m m'
_symmetry_Int_Tables_number 123
_symmetry_space_group_name_Hall '-P 4 2'
_cell_length_a 4.8970
_cell_length_b 4.8970
_cell_length_c 2.8606
_cell_angle_alpha 90.00
_cell_angle_beta 90.00
_cell_angle_gamma 90.00
loop_
_atom_site_label
_atom_site_type_symbol
_atom_site_fract_x
_atom_site_fract_y
_atom_site_fract_z
Ba1 Ba 0.0000 0.0000 0.0000
Be1 Be 0.0000 0.5000 0.5000
Tc1 Tc 0.5000 0.5000 0.0000
```



Q:
Compound: BaBe2Tc
Source: Alexandria via LeMat-Bulk
Functional: PBE-GGA
Structure: optimized geometry

Cell and atoms, written as CIF:
```
data_BaBe2Tc
_symmetry_space_group_name_H-M 'I 41/a m d'
_symmetry_Int_Tables_number 141
_cell_length_a 4.6478
_cell_length_b 4.6478
_cell_length_c 15.9913
_cell_angle_alpha 90.00
_cell_angle_beta 90.00
_cell_angle_gamma 90.00
loop_
_symmetry_equiv_pos_as_xyz
'x,y,z'
'-x,-y,-z'
'-y+1/4,x+3/4,z+1/4'
'y+1/4,-x+3/4,-z+1/4'
'-x+1/2,-y,z+1/2'
'x+1/2,y,-z+1/2'
'y+1/4,-x+1/4,z+3/4'
'-y+1/4,x+1/4,-z+3/4'
'x,-y,-z'
'-x,y,z'
'-y+1/4,-x+1/4,-z+3/4'
'y+1/4,x+1/4,z+3/4'
'-x+1/2,y,-z+1/2'
'x+1/2,-y,z+1/2'
'y+1/4,x+3/4,-z+1/4'
'-y+1/4,-x+3/4,z+1/4'
'x+1/2,y+1/2,z+1/2'
'-x+1/2,-y+1/2,-z+1/2'
'-y+3/4,x+1/4,z+3/4'
'y+3/4,-x+1/4,-z+3/4'
'-x,-y+1/2,z'
'x,y+1/2,-z'
'y+3/4,-x+3/4,z+1/4'
'-y+3/4,x+3/4,-z+1/4'
'x+1/2,-y+1/2,-z+1/2'
'-x+1/2,y+1/2,z+1/2'
'-y+3/4,-x+3/4,-z+1/4'
'y+3/4,x+3/4,z+1/4'
'-x,y+1/2,-z'
'x,-y+1/2,z'
'y+3/4,x+1/4,-z+3/4'
'-y+3/4,-x+1/4,z+3/4'
loop_
_atom_site_label
_atom_site_type_symbol
_atom_site_fract_x
_atom_site_fract_y
_atom_site_fract_z
Ba1 Ba 0.0000 0.2500 0.3750
Be1 Be 0.0000 0.0000 0.0000
Tc1 Tc 0.0000 0.2500 0.8750
```



Q (38.9 kJ/mol of atoms below the next structure)



P:
Compound: BaBeTc
Source: Alexandria via LeMat-Bulk
Functional: PBE-GGA
Structure: optimized geometry

Cell and atoms, written as CIF:
```
data_BaBeTc
_symmetry_space_group_name_H-M 'F -4 3 m'
_symmetry_Int_Tables_number 216
_symmetry_space_group_name_Hall 'F -4 2 3'
_cell_length_a 7.1606
_cell_length_b 7.1606
_cell_length_c 7.1606
_cell_angle_alpha 90.00
_cell_angle_beta 90.00
_cell_angle_gamma 90.00
loop_
_atom_site_label
_atom_site_type_symbol
_atom_site_fract_x
_atom_site_fract_y
_atom_site_fract_z
Ba1 Ba 0.0000 0.0000 0.0000
Be1 Be 0.2500 0.2500 0.7500
Tc1 Tc 0.2500 0.2500 0.2500
```



Q:
Compound: BaBeTc
Source: Alexandria via LeMat-Bulk
Functional: PBE-GGA
Structure: optimized geometry

Cell and atoms, written as CIF:
```
data_BaBeTc
_symmetry_space_group_name_H-M 'I 4 m m'
_symmetry_Int_Tables_number 107
_symmetry_space_group_name_Hall 'I 4 -2'
_cell_length_a 3.3155
_cell_length_b 3.3155
_cell_length_c 11.3927
_cell_angle_alpha 90.00
_cell_angle_beta 90.00
_cell_angle_gamma 90.00
loop_
_atom_site_label
_atom_site_type_symbol
_atom_site_fract_x
_atom_site_fract_y
_atom_site_fract_z
Ba1 Ba 0.0000 0.0000 0.0000
Be1 Be 0.0000 0.0000 0.2614
Tc1 Tc 0.0000 0.0000 0.7284
```



Q (143.1 kJ/mol of atoms below the next structure)



P:
Compound: BaBeTc
Source: Alexandria via LeMat-Bulk
Functional: PBE-GGA
Structure: optimized geometry

Cell and atoms, written as CIF:
```
data_BaBeTc
_symmetry_space_group_name_H-M 'P 3 m 1'
_symmetry_Int_Tables_number 156
_cell_length_a 4.0076
_cell_length_b 4.0076
_cell_length_c 5.0940
_cell_angle_alpha 90.00
_cell_angle_beta 90.00
_cell_angle_gamma 120.00
loop_
_symmetry_equiv_pos_as_xyz
'x,y,z'
'-y,x-y,z'
'-x+y,-x,z'
'-y,-x,z'
'-x+y,y,z'
'x,x-y,z'
loop_
_atom_site_label
_atom_site_type_symbol
_atom_site_fract_x
_atom_site_fract_y
_atom_site_fract_z
Ba1 Ba 0.0000 0.0000 0.0000
Be1 Be 0.6667 0.3333 0.4760
Tc1 Tc 0.3333 0.6667 0.5157
```



Q:
Compound: BaBeTc
Source: Alexandria via LeMat-Bulk
Functional: PBE-GGA
Structure: optimized geometry

Cell and atoms, written as CIF:
```
data_BaBeTc
_symmetry_space_group_name_H-M 'F -4 3 m'
_symmetry_Int_Tables_number 216
_symmetry_space_group_name_Hall 'F -4 2 3'
_cell_length_a 6.5617
_cell_length_b 6.5617
_cell_length_c 6.5617
_cell_angle_alpha 90.00
_cell_angle_beta 90.00
_cell_angle_gamma 90.00
loop_
_atom_site_label
_atom_site_type_symbol
_atom_site_fract_x
_atom_site_fract_y
_atom_site_fract_z
Ba1 Ba 0.0000 0.0000 0.0000
Be1 Be 0.2500 0.2500 0.7500
Tc1 Tc 0.0000 0.0000 0.5000
```



P (54.0 kJ/mol of atoms below the next structure)



P:
Compound: Ba2BeTc2
Source: Alexandria via LeMat-Bulk
Functional: PBE-GGA
Structure: optimized geometry

Cell and atoms, written as CIF:
```
data_Ba2BeTc2
_symmetry_space_group_name_H-M 'I 4/m m m'
_symmetry_Int_Tables_number 139
_symmetry_space_group_name_Hall '-I 4 2'
_cell_length_a 6.2379
_cell_length_b 6.2379
_cell_length_c 7.1292
_cell_angle_alpha 90.00
_cell_angle_beta 90.00
_cell_angle_gamma 90.00
loop_
_atom_site_label
_atom_site_type_symbol
_atom_site_fract_x
_atom_site_fract_y
_atom_site_fract_z
Ba1 Ba 0.0000 0.5000 0.2500
Be1 Be 0.0000 0.0000 0.0000
Tc1 Tc 0.0000 0.0000 0.3419
```



Q:
Compound: Ba2BeTc2
Source: Alexandria via LeMat-Bulk
Functional: PBE-GGA
Structure: optimized geometry

Cell and atoms, written as CIF:
```
data_Ba2BeTc2
_symmetry_space_group_name_H-M 'P 4/m b m'
_symmetry_Int_Tables_number 127
_symmetry_space_group_name_Hall '-P 4 2ab'
_cell_length_a 6.7182
_cell_length_b 6.7182
_cell_length_c 5.2566
_cell_angle_alpha 90.00
_cell_angle_beta 90.00
_cell_angle_gamma 90.00
loop_
_atom_site_label
_atom_site_type_symbol
_atom_site_fract_x
_atom_site_fract_y
_atom_site_fract_z
Ba1 Ba 0.1883 0.3117 0.0000
Be1 Be 0.0000 0.0000 0.5000
Tc1 Tc 0.1212 0.6212 0.5000
```



Q (33.0 kJ/mol of atoms below the next structure)



P:
Compound: BaBeTe
Source: Alexandria via LeMat-Bulk
Functional: PBE-GGA
Structure: optimized geometry

Cell and atoms, written as CIF:
```
data_BaBeTe
_symmetry_space_group_name_H-M 'F -4 3 m'
_symmetry_Int_Tables_number 216
_symmetry_space_group_name_Hall 'F -4 2 3'
_cell_length_a 7.8722
_cell_length_b 7.8722
_cell_length_c 7.8722
_cell_angle_alpha 90.00
_cell_angle_beta 90.00
_cell_angle_gamma 90.00
loop_
_atom_site_label
_atom_site_type_symbol
_atom_site_fract_x
_atom_site_fract_y
_atom_site_fract_z
Ba1 Ba 0.0000 0.0000 0.0000
Be1 Be 0.2500 0.2500 0.7500
Te1 Te 0.2500 0.2500 0.2500
```



Q:
Compound: BaBeTe
Source: Alexandria via LeMat-Bulk
Functional: PBE-GGA
Structure: optimized geometry

Cell and atoms, written as CIF:
```
data_BaBeTe
_symmetry_space_group_name_H-M 'F -4 3 m'
_symmetry_Int_Tables_number 216
_symmetry_space_group_name_Hall 'F -4 2 3'
_cell_length_a 7.9750
_cell_length_b 7.9750
_cell_length_c 7.9750
_cell_angle_alpha 90.00
_cell_angle_beta 90.00
_cell_angle_gamma 90.00
loop_
_atom_site_label
_atom_site_type_symbol
_atom_site_fract_x
_atom_site_fract_y
_atom_site_fract_z
Ba1 Ba 0.0000 0.0000 0.0000
Be1 Be 0.0000 0.0000 0.5000
Te1 Te 0.2500 0.2500 0.7500
```



R:
Compound: BaBeTe
Source: Alexandria via LeMat-Bulk
Functional: PBE-GGA
Structure: optimized geometry

Cell and atoms, written as CIF:
```
data_BaBeTe
_symmetry_space_group_name_H-M 'F -4 3 m'
_symmetry_Int_Tables_number 216
_symmetry_space_group_name_Hall 'F -4 2 3'
_cell_length_a 7.2747
_cell_length_b 7.2747
_cell_length_c 7.2747
_cell_angle_alpha 90.00
_cell_angle_beta 90.00
_cell_angle_gamma 90.00
loop_
_atom_site_label
_atom_site_type_symbol
_atom_site_fract_x
_atom_site_fract_y
_atom_site_fract_z
Ba1 Ba 0.0000 0.0000 0.0000
Be1 Be 0.2500 0.2500 0.2500
Te1 Te 0.0000 0.0000 0.5000
```



S:
Compound: BaBeTe
Source: Alexandria via LeMat-Bulk
Functional: PBE-GGA
Structure: optimized geometry

Cell and atoms, written as CIF:
```
data_BaBeTe
_symmetry_space_group_name_H-M 'P 3 m 1'
_symmetry_Int_Tables_number 156
_cell_length_a 4.2265
_cell_length_b 4.2265
_cell_length_c 5.5796
_cell_angle_alpha 90.00
_cell_angle_beta 90.00
_cell_angle_gamma 120.00
loop_
_symmetry_equiv_pos_as_xyz
'x,y,z'
'-y,x-y,z'
'-x+y,-x,z'
'-y,-x,z'
'-x+y,y,z'
'x,x-y,z'
loop_
_atom_site_label
_atom_site_type_symbol
_atom_site_fract_x
_atom_site_fract_y
_atom_site_fract_z
Ba1 Ba 0.0000 0.0000 0.0000
Be1 Be 0.6667 0.3333 0.3667
Te1 Te 0.3333 0.6667 0.5093
```



S (31.0 kJ/mol of atoms below the next structure)



P:
Compound: BaBeTe3
Source: Alexandria via LeMat-Bulk
Functional: PBE-GGA
Structure: optimized geometry

Cell and atoms, written as CIF:
```
data_BaBeTe3
_symmetry_space_group_name_H-M 'P m -3 m'
_symmetry_Int_Tables_number 221
_symmetry_space_group_name_Hall '-P 4 2 3'
_cell_length_a 5.2818
_cell_length_b 5.2818
_cell_length_c 5.2818
_cell_angle_alpha 90.00
_cell_angle_beta 90.00
_cell_angle_gamma 90.00
loop_
_atom_site_label
_atom_site_type_symbol
_atom_site_fract_x
_atom_site_fract_y
_atom_site_fract_z
Ba1 Ba 0.0000 0.0000 0.0000
Be1 Be 0.5000 0.5000 0.5000
Te1 Te 0.0000 0.5000 0.5000
```



Q:
Compound: BaBeTe3
Source: Alexandria via LeMat-Bulk
Functional: PBE-GGA
Structure: optimized geometry

Cell and atoms, written as CIF:
```
data_BaBeTe3
_symmetry_space_group_name_H-M 'P m -3 m'
_symmetry_Int_Tables_number 221
_symmetry_space_group_name_Hall '-P 4 2 3'
_cell_length_a 6.7255
_cell_length_b 6.7255
_cell_length_c 6.7255
_cell_angle_alpha 90.00
_cell_angle_beta 90.00
_cell_angle_gamma 90.00
loop_
_atom_site_label
_atom_site_type_symbol
_atom_site_fract_x
_atom_site_fract_y
_atom_site_fract_z
Ba1 Ba 0.0000 0.0000 0.0000
Be1 Be 0.5000 0.5000 0.5000
Te1 Te 0.0000 0.0000 0.5000
```



P (129.4 kJ/mol of atoms below the next structure)